# Na2FeCSO7 PBE+U optimized geometry
data_Na2FeCSO7
_symmetry_space_group_name_H-M 'P 1'
_symmetry_Int_Tables_number 1
_symmetry_space_group_name_Hall 'P 1'
_cell_length_a 5.266
_cell_length_b 6.816
_cell_length_c 9.145
_cell_angle_alpha 90.00
_cell_angle_beta 91.90
_cell_angle_gamma 90.00
loop_
_atom_site_label
_atom_site_fract_x
_atom_site_fract_y
_atom_site_fract_z
O1 0.317 0.750 0.948
O2 0.555 0.250 0.436
O3 0.180 0.073 0.341
O4 0.956 0.250 0.866
O5 0.541 0.250 0.816
O6 0.044 0.750 0.134
O7 0.820 0.927 0.659
O8 0.459 0.750 0.184
O9 0.683 0.250 0.052
O10 0.820 0.573 0.659
O11 0.164 0.250 0.572
O12 0.836 0.750 0.428
O13 0.445 0.750 0.564
O14 0.180 0.427 0.341
Na1 0.767 0.504 0.206
Na2 0.233 0.496 0.794
Na3 0.767 0.996 0.206
Na4 0.233 0.004 0.794
S1 0.270 0.250 0.422
S2 0.730 0.750 0.578
C1 0.272 0.750 0.083
C2 0.728 0.250 0.917
Fe1 0.779 0.250 0.640
Fe2 0.221 0.750 0.360
# E_tot: -0.2325 hartree per atom